Record 1
Density functional theory data (PBE) for SrAl3Pt after structural relaxation.

Unit cell a=4.870 b=4.870 c=4.870 alpha=90.00 beta=90.00 gamma=90.00
Space group Pm-3m (No. 221)
Symmetry-distinct sites (fractional):
Sr 0.000 0.000 0.000 x1
Al 0.000 0.500 0.500 x3
Pt 0.500 0.500 0.500 x1

Values from the calculation:
Energy of formation from the pure elements in meV/atom: -379
D(E_F) in states/eV/atom: 0.423

Record 2
Density functional theory data (PBE) for Sr2AlPt2 after structural relaxation.

Unit cell a=7.104 b=12.072 c=6.311 alpha=90.00 beta=90.00 gamma=90.00
Space group Ibam (No. 72)
Symmetry-distinct sites (fractional):
Sr 0.163 0.145 0.000 x8
Al 0.000 0.500 0.250 x4
Pt 0.210 0.400 0.000 x8

Values from the calculation:
Energy of formation from the pure elements in meV/atom: -811
D(E_F) in states/eV/atom: 0.303

What did the first record say?
Density functional theory data (PBE) for SrAl3Pt after structural relaxation.

Unit cell a=4.870 b=4.870 c=4.870 alpha=90.00 beta=90.00 gamma=90.00
Space group Pm-3m (No. 221)
Symmetry-distinct sites (fractional):
Sr 0.000 0.000 0.000 x1
Al 0.000 0.500 0.500 x3
Pt 0.500 0.500 0.500 x1

Values from the calculation:
Energy of formation from the pure elements in meV/atom: -379
D(E_F) in states/eV/atom: 0.423

- Which of these has the highest energy of formation from the pure elements?
  SrAl3Pt